1.
Compound: Hf6TeSe
Source: the Alexandria database
Functional: GGA-PBE
Structure: optimized geometry

Properties
Space group: P-1
VASP energy (eV per atom): -8.294

Cell: 6.348 6.431 6.547 Å, 61.00 61.94 59.72°
Positions (direct):
1 Hf 0.455 0.755 0.770
2 Hf 0.022 0.455 0.773
3 Hf 0.750 0.012 0.772
4 Hf 0.545 0.245 0.230
5 Hf 0.978 0.545 0.227
6 Hf 0.250 0.988 0.228
7 Se 0.000 0.000 0.000
8 Te 0.500 0.500 0.500

---

2.
Compound: Sr2LiBiSe4
Source: the Alexandria database
Functional: GGA-PBE
Structure: optimized geometry

Properties
Space group: Imma
VASP energy (eV per atom): -4.228

Cell: 8.584 8.584 8.725 Å, 120.54 120.54 89.26°
Positions (direct):
1 Se 0.760 0.740 0.989
2 Se 0.240 0.260 0.489
3 Se 0.766 0.255 0.010
4 Se 0.755 0.266 0.510
5 Se 0.240 0.260 0.011
6 Se 0.760 0.740 0.511
7 Se 0.234 0.745 0.990
8 Se 0.245 0.734 0.490
9 Sr 0.500 0.000 0.500
10 Sr 0.500 0.000 0.000
11 Sr 0.000 0.000 0.500
12 Sr 0.500 0.500 0.000
13 Li 0.000 0.500 0.000
14 Li 0.000 0.500 0.500
15 Bi 0.000 0.000 0.000
16 Bi 0.500 0.500 0.500

---

Repeat the first record exactly.
Compound: Hf6TeSe
Source: the Alexandria database
Functional: GGA-PBE
Structure: optimized geometry

Properties
Space group: P-1
VASP energy (eV per atom): -8.294

Cell: 6.348 6.431 6.547 Å, 61.00 61.94 59.72°
Positions (direct):
1 Hf 0.455 0.755 0.770
2 Hf 0.022 0.455 0.773
3 Hf 0.750 0.012 0.772
4 Hf 0.545 0.245 0.230
5 Hf 0.978 0.545 0.227
6 Hf 0.250 0.988 0.228
7 Se 0.000 0.000 0.000
8 Te 0.500 0.500 0.500